## Pa2WAu (PBE-GGA)

Data for crystalline Pa2WAu at its relaxed geometry.

The density is 15.7 g/cm3. For the density of states at the Fermi level, the calculation gives 7.207 states/eV/f.u. The electronic total energy is -35.04 eV/cell. For the energy of formation, the calculation gives 46 meV per atom. For the volume, the calculation gives 89.1 Å³/cell.

a = 3.277 Å, b = 3.277 Å, c = 8.298 Å
α = 90.00°, β = 90.00°, γ = 90.00°
Fractional positions:
Pa 0.000 0.000 0.227
Pa 0.000 0.000 0.773
W 0.500 0.500 0.000
Au 0.500 0.500 0.500